No. 1
10
Lattice="4.493 0.000 0.000 0.000 4.493 0.000 0.000 0.000 11.040" Properties=species:S:1:pos:R:3 comment="Ac2Zn4GaAg3 | Alexandria | GGA-PBE | optimized geometry" space_group=P-4m2 delta_e_f_mev_per_atom=-284 mass_density_g_cm3=8.26 pbc="T T T"
Ac 0.000 2.246 2.712
Ac 2.246 0.000 8.328
Zn 0.000 0.000 5.520
Zn 0.000 2.246 9.629
Zn 2.246 0.000 1.411
Zn 2.246 2.246 5.520
Ga 2.246 2.246 0.000
Ag 0.000 0.000 0.000
Ag 0.000 2.246 6.986
Ag 2.246 0.000 4.054


No. 2
12
Lattice="0.000 5.433 8.109 4.691 0.000 8.109 4.691 5.433 0.000" Properties=species:S:1:pos:R:3 comment="Rb2SbAu3 | Alexandria | GGA-PBE | optimized geometry" space_group=Fmmm energy_ev_per_atom=-2.923 mass_density_g_cm3=7.10 pbc="T T T"
Rb 4.691 2.623 8.109
Rb 2.346 2.716 4.054
Rb 7.037 8.149 12.163
Rb 4.691 8.243 8.109
Sb 4.691 5.433 5.459
Sb 4.691 5.433 10.759
Au 7.044 5.433 6.743
Au 4.691 5.433 2.762
Au 7.044 5.433 9.475
Au 2.338 5.433 6.743
Au 4.691 5.433 13.456
Au 2.338 5.433 9.475


No. 3
15
Lattice="7.406 -4.275 0.000 7.406 4.275 0.000 -4.930 0.000 7.936" Properties=species:S:1:pos:R:3 comment="La8Rh3SI3 | Alexandria | GGA-PBE | optimized geometry" space_group=C2/m energy_ev_per_atom=-5.703 mass_density_g_cm3=6.06 pbc="T T T"
La 3.673 2.204 5.511
La 0.007 0.000 5.482
La 2.394 0.000 2.428
La 6.210 2.204 2.425
La 3.673 -2.204 5.511
La 7.489 0.000 5.508
La 9.876 0.000 2.454
La 6.210 -2.204 2.425
Rh -2.465 0.000 3.968
Rh 1.238 2.137 3.968
Rh 1.238 -2.137 3.968
S 4.941 0.000 3.968
I 3.703 2.137 0.000
I 3.703 -2.137 0.000
I 7.406 0.000 0.000